Computed, not measured: a geometry-optimized NaSr6Ag3 structure at the PBE-GGA level of DFT.

Values from the calculation:
symmetry	P2_1/m, No. 11
DFT formation energy	-0.13	eV/atom
crystal system	monoclinic

```
NaSr6Ag3
1.0
12.620 0.000 0.000
0.000 4.621 0.000
-5.113 0.000 13.737
Na Sr Ag
2 12 6
direct
0.074 0.250 0.220
0.926 0.750 0.780
0.122 0.250 0.942
0.174 0.750 0.701
0.175 0.750 0.422
0.266 0.750 0.181
0.441 0.250 0.599
0.482 0.250 0.111
0.518 0.750 0.889
0.559 0.750 0.401
0.734 0.250 0.819
0.825 0.250 0.578
0.826 0.250 0.299
0.878 0.750 0.058
0.071 0.250 0.527
0.308 0.750 0.967
0.345 0.250 0.353
0.655 0.750 0.647
0.692 0.250 0.033
0.929 0.750 0.473
```